VASP calculation (PBE+U) on a geometry-optimized Cr4Pt2O structure.

Computed properties:
- total DFT energy (no corrections) (eV per atom) = -6.941

abc: 7.5092 7.5092 7.5092
angles: 148.65 148.65 44.92
Fractional positions:
Cr1 0.0000 0.5000 0.5000
Cr2 0.1703 0.1703 0.0000
Cr3 0.5000 0.0000 0.5000
Cr4 0.8297 0.8297 0.0000
Pt1 0.3602 0.3602 0.0000
Pt2 0.6398 0.6398 0.0000
O1 0.0000 0.0000 0.0000